The following is a DFT calculation (PBE) of a relaxed structure of NaV.

Unit cell a=5.7729 b=5.7729 c=6.0237 alpha=90.00 beta=90.00 gamma=90.00
Space group P4_2/mnm (No. 136)
Symmetry-distinct sites (fractional):
Na1 0.1591 0.1591 0.0000 (multiplicity 4)
V1 0.1105 0.1105 0.5000 (multiplicity 4)

Computed properties:
* magnetic moment: 0.00 μB per atom
* DOS at the Fermi energy: 2.4 states/eV/f.u.
* E above lowest polymorph: 821 meV per atom
* energy of formation: 2.6 eV/f.u.